1.
This record from Alexandria via LeMat-Bulk describes crystalline EuZnAu at its relaxed geometry. The functional is PBE.

Unit cell a=6.8519 b=6.8519 c=6.8519 alpha=90.00 beta=90.00 gamma=90.00
With the nearest neighbours (Å) after each atom.
Space group F-43m (No. 216)
Unique sites:
Eu1 0.0000 0.0000 0.0000  4 Au 2.97
Zn1 0.0000 0.0000 0.5000  4 Au 2.97
Au1 0.2500 0.2500 0.2500  4 Zn 2.97, 4 Eu 2.97

Output
**Calculated formation energy**: -0.43 eV per atom
**Total energy**: -5.38 eV per atom

***

2.
This record from Alexandria via LeMat-Bulk describes crystalline EuZrAu2 at its relaxed geometry. The functional is PBE.

Unit cell a=3.5231 b=3.5231 c=7.4297 alpha=90.00 beta=90.00 gamma=90.00
With the nearest neighbours (Å) after each atom.
Space group P4/mmm (No. 123)
Unique sites:
Eu1 0.0000 0.0000 0.0000  8 Au 3.30, 4 Eu 3.52
Zr1 0.0000 0.0000 0.5000  8 Au 2.94
Au1 0.5000 0.5000 0.2904  4 Zr 2.94, 1 Au 3.11

Output
**Calculated formation energy**: -0.58 eV per atom
**Total energy**: -6.92 eV per atom
**Energy above the lowest structure with this stoichiometry**: 0 meV per atom

***

3.
This record from Alexandria via LeMat-Bulk describes crystalline EuZrAu2 at its relaxed geometry. The functional is PBE.

Unit cell a=7.1422 b=7.1422 c=7.1422 alpha=90.00 beta=90.00 gamma=90.00
With the nearest neighbours (Å) after each atom.
Space group Fm-3m (No. 225)
Unique sites:
Eu1 0.0000 0.0000 0.0000  8 Au 3.09
Zr1 0.0000 0.0000 0.5000  8 Au 3.09
Au1 0.2500 0.2500 0.2500  4 Zr 3.09, 4 Eu 3.09

Output
**Calculated formation energy**: -0.45 eV per atom
**Total energy**: -6.79 eV per atom
**Energy above the lowest structure with this stoichiometry**: 133 meV per atom

***

4.
This record from Alexandria via LeMat-Bulk describes crystalline AuF2 at its relaxed geometry. The functional is PBE.

Unit cell a=7.6838 b=3.4700 c=5.4095 alpha=90.00 beta=131.61 gamma=90.00
With the nearest neighbours (Å) after each atom.
Space group C2/m (No. 12)
Unique sites:
Au1 0.0000 0.0000 0.0000  4 F 2.13
F1 0.2154 0.5000 0.2207  2 Au 2.13

Output
**Total energy**: -3.16 eV per atom